Entry 1:
Pr2Sm9Sc after structural relaxation, computed with PBE.

Computed properties:
* energy of formation from the pure elements: 0.029 eV per atom

Cell: 5.110 5.110 15.312 Å, 90.00 90.00 90.00°
Fractional coordinates of all 12 atoms:
Pr1 0.000 0.000 0.170
Pr2 0.000 0.000 0.830
Sm1 0.000 0.500 0.000
Sm2 0.000 0.500 0.340
Sm3 0.000 0.500 0.660
Sm4 0.500 0.000 0.000
Sm5 0.500 0.000 0.340
Sm6 0.500 0.000 0.660
Sm7 0.500 0.500 0.170
Sm8 0.500 0.500 0.500
Sm9 0.500 0.500 0.830
Sc1 0.000 0.000 0.500



Entry 2:
Pr8Sm4Sc after structural relaxation, computed with PBE.

Computed properties:
* energy of formation from the pure elements: 0.406 eV per atom

Cell: 7.888 7.888 7.888 Å, 97.88 97.88 97.88°
Fractional coordinates of all 13 atoms:
Pr1 0.170 0.170 0.668
Pr2 0.170 0.668 0.170
Pr3 0.248 0.248 0.248
Pr4 0.332 0.830 0.830
Pr5 0.668 0.170 0.170
Pr6 0.752 0.752 0.752
Pr7 0.830 0.332 0.830
Pr8 0.830 0.830 0.332
Sm1 0.000 0.000 0.000
Sm2 0.000 0.500 0.500
Sm3 0.500 0.000 0.500
Sm4 0.500 0.500 0.000
Sc1 0.500 0.500 0.500



Entry 3:
Pr2Sm8Sc3 after structural relaxation, computed with PBE.

Computed properties:
* energy of formation from the pure elements: 0.182 eV per atom

Cell: 8.795 8.795 5.988 Å, 107.41 107.41 81.28°
Fractional coordinates of all 13 atoms:
Pr1 0.183 0.183 0.338
Pr2 0.817 0.817 0.662
Sm1 0.083 0.083 0.772
Sm2 0.112 0.581 0.352
Sm3 0.364 0.364 0.889
Sm4 0.419 0.888 0.648
Sm5 0.581 0.112 0.352
Sm6 0.636 0.636 0.111
Sm7 0.888 0.419 0.648
Sm8 0.917 0.917 0.228
Sc1 0.238 0.762 0.000
Sc2 0.500 0.500 0.500
Sc3 0.762 0.238 0.000



Entry 4:
Pr6SmSc2 after structural relaxation, computed with PBE.

Computed properties:
* energy of formation from the pure elements: 0.177 eV per atom

Cell: 7.426 7.426 12.103 Å, 108.36 108.36 86.87°
Fractional coordinates of all 18 atoms:
Pr1 0.098 0.877 0.605
Pr2 0.123 0.902 0.895
Pr3 0.193 0.482 0.934
Pr4 0.290 0.368 0.654
Pr5 0.368 0.290 0.154
Pr6 0.482 0.193 0.434
Pr7 0.518 0.807 0.566
Pr8 0.632 0.710 0.846
Pr9 0.710 0.632 0.346
Pr10 0.807 0.518 0.066
Pr11 0.877 0.098 0.105
Pr12 0.902 0.123 0.395
Sm1 0.205 0.795 0.250
Sm2 0.795 0.205 0.750
Sc1 0.134 0.473 0.371
Sc2 0.473 0.134 0.871
Sc3 0.527 0.866 0.129
Sc4 0.866 0.527 0.629



Entry 5:
Pr3Sm3Sc2 after structural relaxation, computed with PBE.

Computed properties:
* energy of formation from the pure elements: 0.078 eV per atom

Cell: 9.034 9.034 5.759 Å, 108.26 108.26 35.94°
Fractional coordinates of all 8 atoms:
Pr1 0.000 0.000 0.000
Pr2 0.140 0.140 0.685
Pr3 0.860 0.860 0.315
Sm1 0.360 0.360 0.901
Sm2 0.500 0.500 0.500
Sm3 0.640 0.640 0.099
Sc1 0.250 0.250 0.313
Sc2 0.750 0.750 0.687



Entry 6:
Pr2Sm6Sc3 after structural relaxation, computed with PBE.

Computed properties:
* energy of formation from the pure elements: 0.089 eV per atom

Cell: 5.970 8.365 8.446 Å, 106.31 107.62 107.67°
Fractional coordinates of all 11 atoms:
Pr1 0.043 0.318 0.358
Pr2 0.957 0.682 0.642
Sm1 0.080 0.144 0.710
Sm2 0.344 0.951 0.121
Sm3 0.488 0.594 0.834
Sm4 0.512 0.406 0.166
Sm5 0.656 0.049 0.879
Sm6 0.920 0.856 0.290
Sc1 0.000 0.500 0.000
Sc2 0.437 0.771 0.439
Sc3 0.563 0.229 0.561



Entry 7:
PrSmSc after structural relaxation, computed with PBE.

Computed properties:
* energy of formation from the pure elements: 0.066 eV per atom

Cell: 3.532 5.006 10.581 Å, 90.00 90.00 90.00°
Fractional coordinates of all 6 atoms:
Pr1 0.250 0.250 0.093
Pr2 0.750 0.750 0.907
Sm1 0.250 0.250 0.733
Sm2 0.750 0.750 0.267
Sc1 0.250 0.250 0.424
Sc2 0.750 0.750 0.576



Entry 8:
Pr2SmSc after structural relaxation, computed with PBE.

Computed properties:
* energy of formation from the pure elements: 0.039 eV per atom

Cell: 5.081 5.081 5.006 Å, 90.00 90.00 90.00°
Fractional coordinates of all 4 atoms:
Pr1 0.000 0.500 0.000
Pr2 0.500 0.000 0.000
Sm1 0.000 0.000 0.500
Sc1 0.500 0.500 0.500



Entry 9:
Pr5Sm2Sc2 after structural relaxation, computed with PBE.

Computed properties:
* energy of formation from the pure elements: 0.105 eV per atom

Cell: 12.059 12.059 12.059 Å, 153.23 57.25 130.40°
Fractional coordinates of all 18 atoms:
Pr1 0.027 0.372 0.656
Pr2 0.216 0.372 0.844
Pr3 0.247 0.136 0.110
Pr4 0.409 0.659 0.750
Pr5 0.474 0.864 0.610
Pr6 0.526 0.136 0.390
Pr7 0.591 0.341 0.250
Pr8 0.753 0.864 0.890
Pr9 0.784 0.628 0.156
Pr10 0.973 0.628 0.344
Sm1 0.000 0.500 0.500
Sm2 0.189 0.939 0.250
Sm3 0.500 0.500 0.000
Sm4 0.811 0.061 0.750
Sc1 0.117 0.162 0.955
Sc2 0.294 0.838 0.455
Sc3 0.706 0.162 0.545
Sc4 0.883 0.838 0.045



Entry 10:
PrSmSc after structural relaxation, computed with PBE.

Computed properties:
* energy of formation from the pure elements: 0.064 eV per atom

Cell: 3.566 3.566 17.193 Å, 90.00 90.00 120.00°
Fractional coordinates of all 6 atoms:
Pr1 0.000 0.000 0.160
Pr2 0.000 0.000 0.840
Sm1 0.333 0.667 0.344
Sm2 0.333 0.667 0.656
Sc1 0.000 0.000 0.500
Sc2 0.333 0.667 0.000



Entry 11:
Pr2SmSc after structural relaxation, computed with PBE.

Computed properties:
* energy of formation from the pure elements: 0.063 eV per atom

Cell: 11.774 11.774 11.774 Å, 17.59 17.59 17.59°
Fractional coordinates of all 4 atoms:
Pr1 0.000 0.000 0.000
Pr2 0.174 0.174 0.174
Sm1 0.755 0.755 0.755
Sc1 0.587 0.587 0.587



Entry 12:
Pr4Sm2Sc after structural relaxation, computed with PBE.

Computed properties:
* energy of formation from the pure elements: 0.081 eV per atom

Cell: 12.589 6.854 13.582 Å, 66.92 30.06 83.02°
Fractional coordinates of all 14 atoms:
Pr1 0.143 0.294 0.071
Pr2 0.179 0.758 0.107
Pr3 0.294 0.143 0.492
Pr4 0.381 0.619 0.481
Pr5 0.619 0.381 0.519
Pr6 0.731 0.769 0.631
Pr7 0.758 0.179 0.956
Pr8 0.769 0.731 0.869
Sm1 0.214 0.691 0.355
Sm2 0.510 0.895 0.559
Sm3 0.691 0.214 0.740
Sm4 0.895 0.510 0.036
Sc1 0.002 0.002 0.998
Sc2 0.252 0.252 0.248



Entry 13:
Pr2Sm5Sc after structural relaxation, computed with PBE.

Computed properties:
* energy of formation from the pure elements: 0.125 eV per atom

Cell: 6.604 6.604 16.048 Å, 90.00 90.00 129.37°
Fractional coordinates of all 16 atoms:
Pr1 0.221 0.779 0.635
Pr2 0.221 0.779 0.865
Pr3 0.779 0.221 0.135
Pr4 0.779 0.221 0.365
Sm1 0.079 0.921 0.094
Sm2 0.079 0.921 0.406
Sm3 0.382 0.618 0.052
Sm4 0.382 0.618 0.448
Sm5 0.468 0.532 0.750
Sm6 0.532 0.468 0.250
Sm7 0.618 0.382 0.552
Sm8 0.618 0.382 0.948
Sm9 0.921 0.079 0.594
Sm10 0.921 0.079 0.906
Sc1 0.260 0.740 0.250
Sc2 0.740 0.260 0.750



Entry 14:
Pr5Sm2Sc2 after structural relaxation, computed with PBE.

Computed properties:
* energy of formation from the pure elements: 0.121 eV per atom

Cell: 10.218 10.218 8.667 Å, 102.35 102.35 19.73°
Fractional coordinates of all 9 atoms:
Pr1 0.000 0.000 0.000
Pr2 0.218 0.218 0.646
Pr3 0.337 0.337 0.011
Pr4 0.663 0.663 0.989
Pr5 0.782 0.782 0.354
Sm1 0.055 0.055 0.660
Sm2 0.945 0.945 0.340
Sc1 0.401 0.401 0.654
Sc2 0.599 0.599 0.346



Entry 15:
Pr6SmSc after structural relaxation, computed with PBE.

Computed properties:
* energy of formation from the pure elements: 0.351 eV per atom

Cell: 5.831 5.831 9.386 Å, 102.35 102.35 77.39°
Fractional coordinates of all 8 atoms:
Pr1 0.035 0.553 0.205
Pr2 0.135 0.135 0.426
Pr3 0.447 0.965 0.795
Pr4 0.553 0.035 0.205
Pr5 0.865 0.865 0.574
Pr6 0.965 0.447 0.795
Sm1 0.000 0.000 0.000
Sc1 0.500 0.500 0.500



Entry 16:
PrSm7Sc2 after structural relaxation, computed with PBE.

Computed properties:
* energy of formation from the pure elements: 0.612 eV per atom

Cell: 8.867 8.867 5.647 Å, 90.00 90.00 119.41°
Fractional coordinates of all 10 atoms:
Pr1 0.000 0.000 0.000
Sm1 0.060 0.305 0.500
Sm2 0.249 0.751 0.000
Sm3 0.305 0.060 0.500
Sm4 0.500 0.500 0.500
Sm5 0.695 0.940 0.500
Sm6 0.751 0.249 0.000
Sm7 0.940 0.695 0.500
Sc1 0.297 0.703 0.500
Sc2 0.703 0.297 0.500



Entry 17:
Pr10SmSc4 after structural relaxation, computed with PBE.

Computed properties:
* energy of formation from the pure elements: 0.513 eV per atom

Cell: 9.048 9.048 9.048 Å, 101.27 101.27 127.52°
Fractional coordinates of all 15 atoms:
Pr1 0.033 0.911 0.350
Pr2 0.089 0.439 0.122
Pr3 0.250 0.750 0.500
Pr4 0.317 0.967 0.878
Pr5 0.439 0.317 0.350
Pr6 0.561 0.683 0.650
Pr7 0.683 0.033 0.122
Pr8 0.750 0.250 0.500
Pr9 0.911 0.561 0.878
Pr10 0.967 0.089 0.650
Sm1 0.000 0.000 0.000
Sc1 0.295 0.569 0.864
Sc2 0.431 0.295 0.726
Sc3 0.569 0.705 0.274
Sc4 0.705 0.431 0.136



Entry 18:
Pr8Sm3Sc2 after structural relaxation, computed with PBE.

Computed properties:
* energy of formation from the pure elements: 0.216 eV per atom

Cell: 10.763 10.763 5.796 Å, 90.04 90.04 42.72°
Fractional coordinates of all 13 atoms:
Pr1 0.094 0.683 0.000
Pr2 0.181 0.181 0.501
Pr3 0.317 0.906 0.000
Pr4 0.367 0.367 0.500
Pr5 0.633 0.633 0.500
Pr6 0.683 0.094 0.000
Pr7 0.819 0.819 0.499
Pr8 0.906 0.317 0.000
Sm1 0.212 0.788 0.500
Sm2 0.500 0.500 0.000
Sm3 0.788 0.212 0.500
Sc1 0.260 0.260 0.001
Sc2 0.740 0.740 0.999



Entry 19:
Pr2SmSc after structural relaxation, computed with PBE.

Computed properties:
* energy of formation from the pure elements: 0.052 eV per atom

Cell: 11.706 11.706 11.706 Å, 17.69 17.69 17.69°
Fractional coordinates of all 4 atoms:
Pr1 0.246 0.246 0.246
Pr2 0.754 0.754 0.754
Sm1 0.000 0.000 0.000
Sc1 0.500 0.500 0.500



Entry 20:
Pr5Sm4Sc after structural relaxation, computed with PBE.

Computed properties:
* energy of formation from the pure elements: 0.140 eV per atom

Cell: 9.377 9.377 10.480 Å, 95.39 95.39 22.42°
Fractional coordinates of all 10 atoms:
Pr1 0.000 0.000 0.000
Pr2 0.310 0.310 0.899
Pr3 0.359 0.359 0.272
Pr4 0.641 0.641 0.728
Pr5 0.690 0.690 0.101
Sm1 0.181 0.181 0.415
Sm2 0.458 0.458 0.732
Sm3 0.542 0.542 0.268
Sm4 0.819 0.819 0.585
Sc1 0.000 0.000 0.500